Record 1
! CaNd2AgS4 | the Alexandria database | GGA-PBE | optimized geometry; values from VASP
&SYSTEM
  ibrav = 0, nat = 8, ntyp = 4
/
ATOMIC_SPECIES
Ca 40.08 Ca.upf
Nd 144.24 Nd.upf
Ag 107.87 Ag.upf
S 32.06 S.upf
ATOMIC_POSITIONS crystal
Ca 0.000 0.000 0.000
Nd 0.000 0.500 0.500
Nd 0.500 0.000 0.500
Ag 0.500 0.500 0.000
S 0.245 0.500 0.249
S 0.251 0.000 0.752
S 0.749 0.000 0.248
S 0.755 0.500 0.751
CELL_PARAMETERS angstrom
7.009 0.000 0.000
0.000 4.065 0.000
-2.429 0.000 6.586
! Energy, eV per atom: -5.499
! Volume, Å³/atom: 23.46
! Energy relative to the elements, uncorrected, meV/atom: -1637

Record 2
! PmGdHoCd | the Alexandria database | GGA-PBE | optimized geometry; values from VASP
&SYSTEM
  ibrav = 0, nat = 4, ntyp = 4
/
ATOMIC_SPECIES
Pm 145.00 Pm.upf
Gd 157.25 Gd.upf
Ho 164.93 Ho.upf
Cd 112.41 Cd.upf
ATOMIC_POSITIONS crystal
Pm 0.000 0.000 0.000
Gd 0.500 0.500 0.500
Ho 0.750 0.750 0.750
Cd 0.250 0.250 0.250
CELL_PARAMETERS angstrom
0.000 3.888 3.888
3.888 0.000 3.888
3.888 3.888 0.000
! ΔH_f (0 K), eV per atom: -0.04
! Energy, eV per atom: -6.125
! Volume, Å³/atom: 29.38